Material: VFe2Ni3P6O24
Method: DFT, PBE with a Hubbard U
State: relaxed

Fermi-level density of states = 9.2 states/eV/f.u.
energy = -6.74 eV/atom
crystal system = trigonal
calculated density = 3.5 g/cm3
symmetry = No. 146

Structure (extended XYZ):
```
36
Lattice="8.384 0.007 0.005 3.932 7.404 0.005 3.932 2.366 7.016" Properties=species:S:1:pos:R:3 pbc="T T T"
Ni 10.445 6.285 4.517
Ni 2.337 1.407 1.011
Ni 5.815 3.499 2.515
O 11.044 7.897 3.573
O 13.933 6.552 5.811
O 11.109 5.813 0.622
O 7.826 2.925 3.137
O 7.361 8.672 5.312
O 12.314 8.455 6.906
O 10.389 6.993 6.345
O 10.568 3.358 1.195
O 8.786 0.995 1.800
O 5.071 2.039 3.648
O 6.005 2.557 0.769
O 7.916 3.609 6.978
O 4.994 4.033 6.342
O 13.237 8.753 4.356
O 12.149 5.319 4.604
O 9.270 4.728 5.260
O 6.249 4.742 4.255
O 4.176 4.582 2.178
O 6.896 8.306 2.802
O 10.339 2.851 6.525
O 7.116 5.086 1.771
O 10.078 5.150 2.803
O 5.902 6.816 0.369
O 8.518 6.891 3.987
P 11.116 4.650 1.743
P 5.106 5.115 5.229
P 7.976 8.354 3.851
P 9.314 4.091 6.689
P 6.911 5.631 0.338
P 8.212 1.426 3.181
Fe 0.045 0.027 0.019
Fe 8.172 4.918 3.534
V 13.875 8.350 6.000
```